Record 1
An optimized crystal structure of NbCd2Cu2. Source: Alexandria via LeMat-Bulk, functional GGA-PBE.

uncorrected energy: -3.784 eV per atom
calculated formation energy: 0.235 eV per atom
crystal system: tetragonal
D(E_F): 0.60 states/eV per atom

Lattice parameters (Å, degrees): 7.6756 7.6756 2.8425 90.00 90.00 90.00
Element x y z (fractional)
Nb1 0.0000 0.0000 0.0000
Nb2 0.5000 0.5000 0.0000
Cd1 0.1769 0.3231 0.5000
Cd2 0.3231 0.8231 0.5000
Cd3 0.6769 0.1769 0.5000
Cd4 0.8231 0.6769 0.5000
Cu1 0.1199 0.6199 0.0000
Cu2 0.3801 0.1199 0.0000
Cu3 0.6199 0.8801 0.0000
Cu4 0.8801 0.3801 0.0000

Record 2
An optimized crystal structure of SrZr2Hg. Source: Alexandria via LeMat-Bulk, functional GGA-PBE.

uncorrected energy: -4.446 eV per atom
calculated formation energy: 0.324 eV per atom
crystal system: cubic
D(E_F): 0.71 states/eV per atom

Lattice parameters (Å, degrees): 5.2954 5.2954 5.2954 60.00 60.00 60.00
Element x y z (fractional)
Sr1 0.0000 0.0000 0.0000
Zr1 0.2500 0.2500 0.2500
Zr2 0.5000 0.5000 0.5000
Hg1 0.7500 0.7500 0.7500

Q: What is the calculated formation energy in the first record?
A: 0.235 eV per atom

Q: Among the records above, which one has the lowest calculated formation energy?
A: NbCd2Cu2